1.
DFT (GGA-PBE) results for an optimized crystal structure of Pm6HgPb.

Computed properties:
The density of states at the Fermi level comes out at 13.6 states/eV per cell. For the total energy, the calculation gives -4.3132 eV/atom. The calculation puts the calculated volume at 30.198 Å³ per atom.

Unit cell a=4.957 b=4.957 c=9.833 alpha=90.00 beta=90.00 gamma=90.00
Space group P4/mmm (No. 123)
Symmetry-distinct sites (fractional):
Pm1 0.000 0.000 0.000 x1
Pm2 0.000 0.000 0.500 x1
Pm3 0.000 0.500 0.247 x4
Hg1 0.500 0.500 0.000 x1
Pb1 0.500 0.500 0.500 x1


2.
DFT (GGA-PBE) results for an optimized crystal structure of TaTePb2.

Computed properties:
The density of states at the Fermi level comes out at 7.7 states/eV per cell. For the total energy, the calculation gives -4.9532 eV/atom. For the uncorrected formation energy, the calculation gives 650 meV per atom. The calculation puts the calculated volume at 25.924 Å³ per atom.

Unit cell a=5.157 b=5.157 c=7.798 alpha=90.00 beta=90.00 gamma=90.00
Space group I-4m2 (No. 119)
Symmetry-distinct sites (fractional):
Ta1 0.000 0.000 0.000 x2
Te1 0.000 0.500 0.750 x2
Pb1 0.000 0.000 0.500 x2
Pb2 0.000 0.500 0.250 x2


3.
DFT (GGA-PBE) results for an optimized crystal structure of RbNdPt4.

Computed properties:
The density of states at the Fermi level comes out at 11.4 states/eV per cell. For the total energy, the calculation gives -5.5571 eV/atom. The calculation puts the calculated volume at 20.267 Å³ per atom.

Unit cell a=7.864 b=7.864 c=7.864 alpha=90.00 beta=90.00 gamma=90.00
Space group F-43m (No. 216)
Symmetry-distinct sites (fractional):
Rb1 0.000 0.000 0.000 x4
Nd1 0.250 0.250 0.250 x4
Pt1 0.125 0.125 0.625 x16


4.
DFT (GGA-PBE) results for an optimized crystal structure of Pr3Th3UN8.

Computed properties:
The density of states at the Fermi level comes out at 7.3 states/eV per cell. For the total energy, the calculation gives -9.0554 eV/atom. For the uncorrected formation energy, the calculation gives -1423 meV per atom. The calculation puts the calculated volume at 18.115 Å³ per atom.

Unit cell a=7.2814 b=7.2814 c=17.7538 alpha=90.00 beta=90.00 gamma=120.00
Space group R-3m (No. 166, hexagonal axes)
Symmetry-distinct sites (fractional):
Pr1 0.0000 0.5000 0.0000 x9
Th1 0.0000 0.5000 0.5000 x9
U1 0.0000 0.0000 0.5000 x3
N1 0.0000 0.0000 0.2437 x6
N2 0.0351 0.5176 0.2344 x18


5.
DFT (GGA-PBE) results for an optimized crystal structure of Zn2FeRh.

Computed properties:
The density of states at the Fermi level comes out at 6.2 states/eV per cell. For the total energy, the calculation gives -4.7128 eV/atom. The calculation puts the calculated volume at 13.580 Å³ per atom.

Unit cell a=8.832 b=2.790 c=4.504 alpha=90.00 beta=101.77 gamma=90.00
Space group Cm (No. 8)
Symmetry-distinct sites (fractional):
Zn1 0.000 0.000 0.000 x2
Zn2 0.244 0.000 0.746 x2
Fe1 0.249 0.500 0.254 x2
Rh1 0.495 0.000 0.492 x2


6.
DFT (GGA-PBE) results for an optimized crystal structure of Rb2AlMoCl6.

Computed properties:
The density of states at the Fermi level comes out at 0.0 states/eV per cell. For the total energy, the calculation gives -3.9765 eV/atom. For the uncorrected formation energy, the calculation gives -1218 meV per atom. The calculation puts the calculated volume at 29.544 Å³ per atom.

Unit cell a=10.572 b=10.572 c=10.572 alpha=90.00 beta=90.00 gamma=90.00
Space group Fm-3m (No. 225)
Symmetry-distinct sites (fractional):
Rb1 0.250 0.250 0.250 x8
Al1 0.000 0.000 0.000 x4
Mo1 0.000 0.000 0.500 x4
Cl1 0.000 0.000 0.265 x24


7.
DFT (GGA-PBE) results for an optimized crystal structure of MnPd2Br.

Computed properties:
The density of states at the Fermi level comes out at 4.4 states/eV per cell. For the total energy, the calculation gives -5.1076 eV/atom. For the relative energy among the computed polymorphs, the calculation gives 0 meV per atom. For the uncorrected formation energy, the calculation gives 199 meV per atom. The calculation puts the calculated volume at 17.348 Å³ per atom.

Unit cell a=6.523 b=6.523 c=6.523 alpha=90.00 beta=90.00 gamma=90.00
Space group Fm-3m (No. 225)
Symmetry-distinct sites (fractional):
Mn1 0.000 0.000 0.000 x4
Pd1 0.250 0.250 0.250 x8
Br1 0.000 0.000 0.500 x4


8.
DFT (GGA-PBE) results for an optimized crystal structure of Sr2TlAgI6.

Computed properties:
The density of states at the Fermi level comes out at 0.0 states/eV per cell. For the total energy, the calculation gives -2.9479 eV/atom. For the uncorrected formation energy, the calculation gives -1160 meV per atom. The calculation puts the calculated volume at 44.408 Å³ per atom.

Unit cell a=8.254 b=8.260 c=8.901 alpha=90.02 beta=117.61 gamma=119.97
Space group P1 (No. 1)
Symmetry-distinct sites (fractional):
Sr1 0.000 0.000 0.000 x1
Sr2 0.016 0.508 0.524 x1
Tl1 0.393 0.696 0.090 x1
Ag1 0.377 0.188 0.565 x1
I1 0.183 0.387 0.301 x1
I2 0.204 0.271 0.779 x1
I3 0.505 0.117 0.301 x1
I4 0.508 0.933 0.779 x1
I5 0.846 0.575 0.779 x1
I6 0.913 0.796 0.301 x1


9.
DFT (GGA-PBE) results for an optimized crystal structure of Pm8Sm2In.

Computed properties:
The density of states at the Fermi level comes out at 32.8 states/eV per cell. For the total energy, the calculation gives -4.5574 eV/atom. For the relative energy among the computed polymorphs, the calculation gives 71 meV per atom. The calculation puts the calculated volume at 34.305 Å³ per atom.

Unit cell a=5.577 b=7.741 c=17.482 alpha=90.00 beta=90.00 gamma=90.00
Space group Immm (No. 71)
Symmetry-distinct sites (fractional):
Pm1 0.000 0.000 0.177 x4
Pm2 0.000 0.227 0.364 x8
Pm3 0.000 0.259 0.000 x4
Sm1 0.000 0.500 0.193 x4
In1 0.000 0.500 0.500 x2


10.
DFT (GGA-PBE) results for an optimized crystal structure of AcSnTeO.

Computed properties:
The density of states at the Fermi level comes out at 1.8 states/eV per cell. For the total energy, the calculation gives -5.8683 eV/atom. For the uncorrected formation energy, the calculation gives -1816 meV per atom. The calculation puts the calculated volume at 27.683 Å³ per atom.

Unit cell a=4.317 b=4.317 c=11.884 alpha=90.00 beta=90.00 gamma=90.00
Space group P4/nmm (No. 129, origin choice 2)
Symmetry-distinct sites (fractional):
Ac1 0.250 0.250 0.105 x2
Sn1 0.250 0.750 0.500 x2
Te1 0.250 0.250 0.727 x2
O1 0.250 0.750 0.000 x2


11.
DFT (GGA-PBE) results for an optimized crystal structure of AcLaMgPd.

Computed properties:
The density of states at the Fermi level comes out at 13.2 states/eV per cell. For the total energy, the calculation gives -4.2598 eV/atom. The calculation puts the calculated volume at 29.331 Å³ per atom.

Unit cell a=7.771 b=7.771 c=7.771 alpha=90.00 beta=90.00 gamma=90.00
Space group F-43m (No. 216)
Symmetry-distinct sites (fractional):
Ac1 0.000 0.000 0.000 x4
La1 0.000 0.000 0.500 x4
Mg1 0.250 0.250 0.250 x4
Pd1 0.250 0.250 0.750 x4


12.
DFT (GGA-PBE) results for an optimized crystal structure of AcAsBr.

Computed properties:
The density of states at the Fermi level comes out at 2.4 states/eV per cell. For the total energy, the calculation gives -4.4258 eV/atom. For the relative energy among the computed polymorphs, the calculation gives 95 meV per atom. For the uncorrected formation energy, the calculation gives -949 meV per atom. The calculation puts the calculated volume at 30.390 Å³ per atom.

Unit cell a=5.2234 b=5.2234 c=3.8584 alpha=90.00 beta=90.00 gamma=120.00
Space group P3m1 (No. 156)
Symmetry-distinct sites (fractional):
Ac1 0.0000 0.0000 0.0000 x1
As1 0.6667 0.3333 0.4991 x1
Br1 0.3333 0.6667 0.9972 x1